(1)
# Dy7Ho5Er (PBE-GGA, relaxed)
data_Dy7Ho5Er
_symmetry_space_group_name_H-M 'P 1'
_symmetry_Int_Tables_number 1
_cell_length_a 6.630
_cell_length_b 8.622
_cell_length_c 8.622
_cell_angle_alpha 79.80
_cell_angle_beta 67.39
_cell_angle_gamma 67.39
loop_
_symmetry_equiv_pos_as_xyz
'x,y,z'
loop_
_atom_site_label
_atom_site_fract_x
_atom_site_fract_y
_atom_site_fract_z
_atom_site_occupancy
Dy1 0.980 0.348 0.691 1
Dy2 0.731 0.269 0.269 1
Dy3 0.232 0.268 0.268 1
Dy4 0.481 0.190 0.848 1
Dy5 0.980 0.691 0.348 1
Dy6 0.424 0.576 0.576 1
Dy7 0.481 0.848 0.190 1
Ho1 0.462 0.997 0.543 1
Ho2 0.731 0.769 0.769 1
Ho3 0.998 0.997 0.543 1
Ho4 0.462 0.543 0.997 1
Ho5 0.998 0.543 0.997 1
Er1 0.039 0.961 0.961 1
# Magnetization (μB per cell): 0.0
# D(E_F) (states/eV per cell): 24.115
# Space group: No. 44
# Energy of formation from the pure elements (eV per atom): 0.26

---

(2)
# DyHo2Er6 (PBE-GGA, relaxed)
data_DyHo2Er6
_symmetry_space_group_name_H-M 'P 1'
_symmetry_Int_Tables_number 1
_cell_length_a 4.962
_cell_length_b 10.512
_cell_length_c 10.512
_cell_angle_alpha 90.00
_cell_angle_beta 90.00
_cell_angle_gamma 90.00
loop_
_symmetry_equiv_pos_as_xyz
'x,y,z'
loop_
_atom_site_label
_atom_site_fract_x
_atom_site_fract_y
_atom_site_fract_z
_atom_site_occupancy
Er1 0.000 0.666 0.500 1
Er2 0.500 0.166 0.000 1
Er3 0.500 0.500 0.666 1
Er4 0.000 0.000 0.166 1
Er5 0.500 0.833 0.333 1
Er6 0.500 0.834 0.000 1
Er7 0.000 0.667 0.833 1
Er8 0.000 0.000 0.834 1
Er9 0.000 0.333 0.167 1
Er10 0.000 0.334 0.500 1
Er11 0.500 0.167 0.667 1
Er12 0.500 0.500 0.334 1
Ho1 0.000 0.333 0.833 1
Ho2 0.500 0.167 0.333 1
Ho3 0.500 0.833 0.667 1
Ho4 0.000 0.667 0.167 1
Dy1 0.500 0.500 0.000 1
Dy2 0.000 0.000 0.500 1
# Magnetization (μB per cell): 0.0
# D(E_F) (states/eV per cell): 22.801
# Distance to the lowest polymorph of the same formula (eV per atom): 0.022
# Space group: No. 136
# Energy of formation from the pure elements (eV per atom): 0.02

---

- Which value of magnetization does entry 1 give?
  0.0 μB per cell

---

- D(E_F) of number 1 (Dy7Ho5Er)?
  24.115 states/eV per cell